A relaxed NaCd12Hg4 crystal, computed with PBE-GGA.

Computed properties:
SG: No. 204
energy of formation: 0.1021 eV per atom
N(E_F): 5.63 states/eV/f.u.

CIF file:
```
data_NaCd12Hg4
_cell_length_a 8.6391
_cell_length_b 8.6391
_cell_length_c 8.6391
_cell_angle_alpha 109.47
_cell_angle_beta 109.47
_cell_angle_gamma 109.47
_space_group_name_H-M_alt 'P 1'
_space_group_IT_number 1
loop_
_space_group_symop_operation_xyz
'x,y,z'
loop_
_atom_site_label
_atom_site_type_symbol
_atom_site_fract_x
_atom_site_fract_y
_atom_site_fract_z
_atom_site_occupancy
Na1 Na 0.0000 0.0000 0.0000 1
Cd1 Cd 0.1473 0.3527 0.5000 1
Cd2 Cd 0.1473 0.6473 0.7946 1
Cd3 Cd 0.2054 0.8527 0.3527 1
Cd4 Cd 0.3527 0.2054 0.8527 1
Cd5 Cd 0.3527 0.5000 0.1473 1
Cd6 Cd 0.5000 0.1473 0.3527 1
Cd7 Cd 0.5000 0.8527 0.6473 1
Cd8 Cd 0.6473 0.5000 0.8527 1
Cd9 Cd 0.6473 0.7946 0.1473 1
Cd10 Cd 0.7946 0.1473 0.6473 1
Cd11 Cd 0.8527 0.3527 0.2054 1
Cd12 Cd 0.8527 0.6473 0.5000 1
Hg1 Hg 0.0000 0.0000 0.5000 1
Hg2 Hg 0.0000 0.5000 0.0000 1
Hg3 Hg 0.5000 0.0000 0.0000 1
Hg4 Hg 0.5000 0.5000 0.5000 1
```